(1)
A relaxed structure of PaTi2NiO8, computed with PBE+U.

abc: 5.0100 5.0100 6.3387
angles: 113.28 113.28 90.00
Sites, in units of the cell vectors:
Pa: 0.7500 0.2500 0.5000
Ti: 0.5000 0.5000 0.0000
Ti: 0.2500 0.7500 0.5000
Ni: 0.0000 0.0000 0.0000
O: 0.8128 0.8768 0.1642
O: 0.3514 0.2873 0.1642
O: 0.5146 0.5715 0.6789
O: 0.1643 0.1074 0.6789
O: 0.8926 0.4854 0.3211
O: 0.4285 0.8357 0.3211
O: 0.1232 0.6486 0.8358
O: 0.7127 0.1872 0.8358

Output
As for the calculated density: 6.46 Mg/m³. The calculation puts the raw total energy at -97.886 eV per cell.

---

(2)
A relaxed structure of PaTl2NiO6, computed with PBE+U.

abc: 5.5068 7.6120 7.6146
angles: 86.15 90.04 89.96
Sites, in units of the cell vectors:
Pa: 0.2500 0.3667 0.6333
Pa: 0.7500 0.6333 0.3667
Tl: 0.2501 0.8761 0.6089
Tl: 0.2501 0.3909 0.1238
Tl: 0.7499 0.1239 0.3911
Tl: 0.7499 0.6091 0.8762
Ni: 0.2500 0.7916 0.2085
Ni: 0.7500 0.2084 0.7915
O: 0.0004 0.1187 0.6498
O: 0.4996 0.3503 0.8811
O: 0.9996 0.8813 0.3502
O: 0.5004 0.6497 0.1189
O: 0.5003 0.8813 0.3503
O: 0.9997 0.6497 0.1189
O: 0.4997 0.1187 0.6497
O: 0.0003 0.3503 0.8811
O: 0.0002 0.6157 0.6155
O: 0.4999 0.3843 0.3844
O: 0.9998 0.3843 0.3845
O: 0.5001 0.6157 0.6156

Output
As for the calculated density: 8.29 Mg/m³. The calculation puts the raw total energy at -123.612 eV per cell.

---

(3)
A relaxed structure of Pa2TlNiO8, computed with PBE+U.

abc: 5.0409 5.0409 8.2158
angles: 90.00 90.00 120.00
Sites, in units of the cell vectors:
Pa: 0.6667 0.3333 0.1344
Pa: 0.3333 0.6667 0.8656
Tl: 0.0000 0.0000 0.5000
Ni: 0.0000 0.0000 0.0000
O: 0.8270 0.6540 0.8749
O: 0.3460 0.1730 0.8749
O: 0.8270 0.1730 0.8749
O: 0.1730 0.3460 0.1251
O: 0.6540 0.8270 0.1251
O: 0.1730 0.8270 0.1251
O: 0.6667 0.3333 0.3645
O: 0.3333 0.6667 0.6355

Output
As for the calculated density: 7.84 Mg/m³. The calculation puts the raw total energy at -87.928 eV per cell.

---

(4)
A relaxed structure of Pa3Tl4NiO12, computed with PBE+U.

abc: 7.4805 7.4805 7.4805
angles: 109.47 109.47 109.47
Sites, in units of the cell vectors:
Pa: 0.5000 0.0000 0.5000
Pa: 0.5000 0.5000 0.0000
Pa: 0.0000 0.5000 0.5000
Tl: 0.5000 0.5000 0.5000
Tl: 0.0000 0.0000 0.5000
Tl: 0.5000 0.0000 0.0000
Tl: 0.0000 0.5000 0.0000
Ni: 0.0000 0.0000 0.0000
O: 0.2500 0.5000 0.7500
O: 0.7511 0.0000 0.7511
O: 0.2489 0.0000 0.2489
O: 0.7500 0.5000 0.2500
O: 0.7511 0.7511 0.0000
O: 0.2489 0.2489 0.0000
O: 0.7500 0.2500 0.5000
O: 0.2500 0.7500 0.5000
O: 0.5000 0.2500 0.7500
O: 0.0000 0.7511 0.7511
O: 0.5000 0.7500 0.2500
O: 0.0000 0.2489 0.2489

Output
As for the calculated density: 9.08 Mg/m³. The calculation puts the raw total energy at -141.311 eV per cell.

---

(5)
A relaxed structure of PaTlNiO6, computed with PBE+U.

abc: 4.7745 5.3649 5.3649
angles: 120.00 90.00 90.00
Sites, in units of the cell vectors:
Pa: 0.0000 0.3333 0.6667
Tl: 0.5000 0.6667 0.3333
Ni: 0.5000 0.0000 0.0000
O: 0.7388 0.6848 0.7025
O: 0.7388 0.2975 0.9823
O: 0.7388 0.0177 0.3152
O: 0.2612 0.2975 0.3152
O: 0.2612 0.6848 0.9823
O: 0.2612 0.0177 0.7025

Output
As for the calculated density: 8.23 Mg/m³. The calculation puts the raw total energy at -57.955 eV per cell.

---

(6)
A relaxed structure of PaTl2NiO8, computed with PBE+U.

abc: 6.1195 6.1195 6.1195
angles: 114.51 114.51 99.81
Sites, in units of the cell vectors:
Pa: 0.0000 0.0000 0.0000
Tl: 0.7500 0.2500 0.5000
Tl: 0.5000 0.5000 0.0000
Ni: 0.2500 0.7500 0.5000
O: 0.3467 0.0367 0.3100
O: 0.2745 0.4777 0.2032
O: 0.2745 0.0714 0.7968
O: 0.7266 0.0367 0.6900
O: 0.9286 0.7255 0.2032
O: 0.9633 0.2734 0.3100
O: 0.9633 0.6533 0.6900
O: 0.5223 0.7255 0.7968

Output
As for the calculated density: 7.94 Mg/m³. The calculation puts the raw total energy at -68.709 eV per cell.

---

(7)
A relaxed structure of Pa3Tl2NiO12, computed with PBE+U.

abc: 7.5734 7.5734 7.5734
angles: 64.14 64.14 64.14
Sites, in units of the cell vectors:
Pa: 0.5000 0.0000 0.0000
Pa: 0.0000 0.5000 0.0000
Pa: 0.0000 0.0000 0.5000
Tl: 0.6582 0.6582 0.6582
Tl: 0.3418 0.3418 0.3418
Ni: 0.0000 0.0000 0.0000
O: 0.3237 0.3237 0.9576
O: 0.9482 0.9482 0.2772
O: 0.2772 0.9482 0.9482
O: 0.9576 0.3237 0.3237
O: 0.9482 0.2772 0.9482
O: 0.3237 0.9576 0.3237
O: 0.6763 0.6763 0.0424
O: 0.0518 0.0518 0.7228
O: 0.7228 0.0518 0.0518
O: 0.0424 0.6763 0.6763
O: 0.0518 0.7228 0.0518
O: 0.6763 0.0424 0.6763

Output
As for the calculated density: 6.70 Mg/m³. The calculation puts the raw total energy at -132.616 eV per cell.

---

(8)
A relaxed structure of TmPaNiO6, computed with PBE+U.

abc: 4.8167 5.2177 5.2177
angles: 120.00 90.00 90.00
Sites, in units of the cell vectors:
Tm: 0.5000 0.0000 0.0000
Pa: 0.0000 0.3333 0.6667
Ni: 0.5000 0.6667 0.3333
O: 0.7328 0.6509 0.6258
O: 0.7328 0.3742 0.0251
O: 0.7328 0.9749 0.3491
O: 0.2672 0.3742 0.3491
O: 0.2672 0.6509 0.0251
O: 0.2672 0.9749 0.6258

Output
As for the calculated density: 8.11 Mg/m³. The calculation puts the raw total energy at -68.164 eV per cell.

---

(9)
A relaxed structure of UPaNiO6, computed with PBE+U.

abc: 5.8090 5.8090 8.6413
angles: 90.00 90.00 120.00
Sites, in units of the cell vectors:
U: 0.6667 0.3333 0.2500
U: 0.3333 0.6667 0.7500
Pa: 0.3333 0.6667 0.2500
Pa: 0.6667 0.3333 0.7500
Ni: 0.0000 0.0000 0.0000
Ni: 0.0000 0.0000 0.5000
O: 0.6643 0.6598 0.1309
O: 0.9955 0.3357 0.1309
O: 0.3357 0.9955 0.6309
O: 0.0045 0.6643 0.8691
O: 0.3402 0.3357 0.3691
O: 0.9955 0.6598 0.3691
O: 0.6598 0.9955 0.8691
O: 0.6643 0.0045 0.3691
O: 0.0045 0.3402 0.6309
O: 0.3402 0.0045 0.1309
O: 0.6598 0.6643 0.6309
O: 0.3357 0.3402 0.8691

Output
As for the calculated density: 8.20 Mg/m³. The calculation puts the raw total energy at -154.045 eV per cell.

---

(10)
A relaxed structure of PaNiWO6, computed with PBE+U.

abc: 5.4944 5.4944 8.8363
angles: 90.00 90.00 120.00
Sites, in units of the cell vectors:
Pa: 0.3333 0.6667 0.2500
Pa: 0.6667 0.3333 0.7500
Ni: 0.0000 0.0000 0.0000
Ni: 0.0000 0.0000 0.5000
W: 0.6667 0.3333 0.2500
W: 0.3333 0.6667 0.7500
O: 0.6720 0.6464 0.1291
O: 0.9744 0.3280 0.1291
O: 0.3280 0.9744 0.6291
O: 0.0256 0.6720 0.8709
O: 0.3536 0.3280 0.3709
O: 0.9744 0.6464 0.3709
O: 0.6464 0.9744 0.8709
O: 0.6720 0.0256 0.3709
O: 0.0256 0.3536 0.6291
O: 0.3536 0.0256 0.1291
O: 0.6464 0.6720 0.6291
O: 0.3280 0.3536 0.8709

Output
As for the calculated density: 8.19 Mg/m³. The calculation puts the raw total energy at -137.743 eV per cell.

---

(11)
A relaxed structure of YPaNi2O6, computed with PBE+U.

abc: 5.5376 5.6227 8.3251
angles: 90.00 89.40 90.00
Sites, in units of the cell vectors:
Y: 0.5000 0.0000 0.5000
Y: 0.0000 0.5000 0.0000
Pa: 0.5000 0.0000 0.0000
Pa: 0.0000 0.5000 0.5000
Ni: 0.9830 0.9777 0.2473
Ni: 0.4830 0.5223 0.7473
Ni: 0.0170 0.0223 0.7527
Ni: 0.5170 0.4777 0.2527
O: 0.3519 0.6714 0.0854
O: 0.8519 0.8286 0.5854
O: 0.6481 0.3286 0.9146
O: 0.1481 0.1714 0.4146
O: 0.3347 0.6567 0.4206
O: 0.8347 0.8433 0.9206
O: 0.6653 0.3433 0.5794
O: 0.1653 0.1567 0.0794
O: 0.8548 0.6236 0.2535
O: 0.3548 0.8764 0.7535
O: 0.1452 0.3764 0.7465
O: 0.6452 0.1236 0.2465

Output
As for the calculated density: 6.83 Mg/m³. The calculation puts the raw total energy at -150.530 eV per cell.

---

(12)
A relaxed structure of PaZnNiO4, computed with PBE+U.

abc: 6.0214 6.4024 6.4024
angles: 65.53 61.95 61.95
Sites, in units of the cell vectors:
Pa: 0.0000 0.0000 0.0000
Pa: 0.0000 0.5000 0.5000
Zn: 0.6614 0.5886 0.0886
Zn: 0.3386 0.4114 0.9114
Ni: 0.5000 0.0000 0.5000
Ni: 0.0000 0.0000 0.5000
O: 0.7610 0.7615 0.7164
O: 0.2390 0.7836 0.7385
O: 0.7610 0.2164 0.2615
O: 0.2390 0.2385 0.2836
O: 0.2631 0.7166 0.2166
O: 0.8037 0.7166 0.2166
O: 0.1963 0.2834 0.7834
O: 0.7369 0.2834 0.7834

Output
As for the calculated density: 7.47 Mg/m³. The calculation puts the raw total energy at -95.852 eV per cell.